No. 1
The following is a PBE calculation of a geometry-optimized Ca2MgCo2 structure, from the Alexandria database.

Computed properties:
volume = 117.9 Å³/f.u.
energy of formation = 0.4152 eV per atom

Cell: 5.5586 5.5586 5.4779 Å, 59.51 59.51 90.00°
With the nearest neighbours (Å) after each atom.
Fractional coordinates of all 5 atoms:
Co (0.3554, 0.3554, 0.2892)  1 Co 2.21
Mg (0.0000, 0.0000, 0.0000)  2 Co 2.71
Ca (0.2500, 0.7500, 0.5000)  4 Co 2.89
Co (0.6446, 0.6446, 0.7108)  1 Co 2.21
Ca (0.7500, 0.2500, 0.5000)  4 Co 2.89

***

No. 2
The following is a PBE calculation of a geometry-optimized CaMg2Co structure, from the Alexandria database.

Computed properties:
volume = 89.6 Å³/f.u.
energy of formation = 0.3463 eV per atom

Cell: 9.7763 9.7763 9.7763 Å, 19.34 19.34 19.34°
With the nearest neighbours (Å) after each atom.
Fractional coordinates of all 4 atoms:
Mg (0.0195, 0.0195, 0.0195)  3 Co 2.64
Ca (0.2500, 0.2500, 0.2500)  6 Ca 3.28, 6 Mg 3.51
Co (0.7500, 0.7500, 0.7500)  6 Mg 2.64
Mg (0.4805, 0.4805, 0.4805)  3 Co 2.64

***

Q: What is the volume in the second record?
A: 89.6 Å³/f.u.